Entry 1:
{
  "formula": "KErI2",
  "functional": "PBE",
  "state": "optimized geometry",
  "sg": "R-3m, No. 166",
  "mass_density_g_cm3": 4.46,
  "formation_energy_uncorrected_ev_per_fu": -3.30,
  "dft_energy_ev_per_atom": -3.02,
  "lattice": [[4.121, 0.000, 0.000], [-2.060, 3.569, 0.000], [0.000, 0.000, 34.927]],
  "species": ["K", "K", "K", "Er", "Er", "Er", "I", "I", "I", "I", "I", "I"],
  "frac_coords": [[0.000, 0.000, 0.000], [0.333, 0.667, 0.667], [0.667, 0.333, 0.333], [0.000, 0.000, 0.500], [0.333, 0.667, 0.167], [0.667, 0.333, 0.833], [0.000, 0.000, 0.111], [0.000, 0.000, 0.889], [0.333, 0.667, 0.556], [0.333, 0.667, 0.777], [0.667, 0.333, 0.223], [0.667, 0.333, 0.444]]
}



Entry 2:
{
  "formula": "ClF",
  "functional": "PBE",
  "state": "optimized geometry",
  "sg": "P-1, No. 2",
  "mass_density_g_cm3": 1.66,
  "formation_energy_uncorrected_ev_per_fu": -0.69,
  "dft_energy_ev_per_atom": -2.21,
  "lattice": [[4.647, 0.000, 0.000], [0.347, 4.652, 0.000], [0.012, 0.344, 5.050]],
  "species": ["Cl", "Cl", "F", "F"],
  "frac_coords": [[0.145, 0.407, 0.342], [0.855, 0.593, 0.658], [0.287, 0.098, 0.215], [0.713, 0.902, 0.785]]
}